First-principles (GGA-PBE) data for an optimized crystal structure of TbCe2PaSe4, as listed in the Alexandria database.

Cell lengths 7.158, 4.112, 7.193 Å; angles 90.00, 109.14, 90.00 degrees
Element x y z (fractional)
Tb  0.000  0.000  0.000
Ce  0.500  0.000  0.500
Ce  0.500  0.500  0.000
Pa  0.000  0.500  0.500
Se  0.241  0.500  0.246
Se  0.242  0.000  0.749
Se  0.758  0.000  0.251
Se  0.759  0.500  0.754

* volume: 25.00 Å³/atom
* crystal system: monoclinic
* E_form (uncorrected): -1650.4 meV per atom